Ho2Er | PBE-GGA | relaxed

Cell and atoms, written as POSCAR:
```
Ho2Er
1.0
3.5049 0.0000 0.0000
0.0000 3.5049 0.0000
0.0000 0.0000 14.9254
Ho Er
4 2
direct
0.0000 0.0000 0.1665
0.0000 0.0000 0.8335
0.5000 0.5000 0.3335
0.5000 0.5000 0.6665
0.0000 0.0000 0.5000
0.5000 0.5000 0.0000
```

Summary:
E_tot	-4.550	eV/atom
SG	I4/mmm (139)
ΔH_f (0 K)	0.02	eV per atom
magnetization	0.00	μB/atom

---

Ho5Er2 | PBE-GGA | relaxed

Cell and atoms, written as POSCAR:
```
Ho5Er2
1.0
7.7443 -3.1071 0.0000
7.7443 3.1071 0.0000
-0.9877 0.0000 9.0374
Ho Er
10 4
direct
0.0242 0.6906 0.0358
0.1191 0.4524 0.6786
0.1669 0.8331 0.7500
0.3094 0.9758 0.4642
0.4524 0.1191 0.1786
0.5476 0.8809 0.8214
0.6906 0.0242 0.5358
0.8331 0.1669 0.2500
0.8809 0.5476 0.3214
0.9758 0.3094 0.9642
0.2622 0.5951 0.3929
0.4049 0.7378 0.1071
0.5951 0.2622 0.8929
0.7378 0.4049 0.6071
```

Summary:
E_tot	-4.573	eV/atom
SG	C2/c (15)
ΔH_f (0 K)	0.00	eV per atom
magnetization	0.00	μB/atom